# 1
Below is a relaxed NaIn2Cu crystal, with properties calculated at the PBE level.

```
data_NaIn2Cu
_chemical_formula_sum 'Na1 In2 Cu1'
_symmetry_space_group_name_H-M 'P 1'
_symmetry_Int_Tables_number 1
_symmetry_space_group_name_Hall 'P 1'
_cell_length_a 3.318
_cell_length_b 3.318
_cell_length_c 10.494
_cell_angle_alpha 80.90
_cell_angle_beta 80.90
_cell_angle_gamma 60.00
loop_
_atom_site_label
_atom_site_fract_x
_atom_site_fract_y
_atom_site_fract_z
In1 0.101 0.101 0.697
In2 0.899 0.899 0.303
Na1 0.000 0.000 0.000
Cu1 0.500 0.500 0.500
```

Summary:
Energy relative to the elements, eV per atom: 0.143
Calculated total energy, eV/atom: -2.580

***

# 2
Below is a relaxed SrCa2ZrGe crystal, with properties calculated at the PBE level.

```
data_SrCa2ZrGe
_chemical_formula_sum 'Sr1 Ca2 Zr1 Ge1'
_symmetry_space_group_name_H-M 'P 1'
_symmetry_Int_Tables_number 1
_symmetry_space_group_name_Hall 'P 1'
_cell_length_a 5.766
_cell_length_b 5.314
_cell_length_c 5.766
_cell_angle_alpha 90.00
_cell_angle_beta 90.00
_cell_angle_gamma 90.00
loop_
_atom_site_label
_atom_site_fract_x
_atom_site_fract_y
_atom_site_fract_z
Ca1 0.000 0.000 0.500
Ca2 0.500 0.000 0.000
Sr1 0.000 0.000 0.000
Ge1 0.500 0.500 0.500
Zr1 0.000 0.500 0.000
```

Summary:
Energy relative to the elements, eV per atom: 1.396
Calculated total energy, eV/atom: -2.374

***

# 3
Below is a relaxed Np2AlGa4 crystal, with properties calculated at the PBE level.

```
data_Np2AlGa4
_chemical_formula_sum 'Np4 Al2 Ga8'
_symmetry_space_group_name_H-M 'P 1'
_symmetry_Int_Tables_number 1
_symmetry_space_group_name_Hall 'P 1'
_cell_length_a 5.630
_cell_length_b 9.843
_cell_length_c 7.088
_cell_angle_alpha 133.98
_cell_angle_beta 90.00
_cell_angle_gamma 90.00
loop_
_atom_site_label
_atom_site_fract_x
_atom_site_fract_y
_atom_site_fract_z
Ga1 0.250 0.500 0.500
Ga2 0.750 0.250 0.000
Ga3 0.250 0.250 0.000
Ga4 0.750 0.000 0.500
Ga5 0.250 0.000 0.500
Ga6 0.750 0.500 0.500
Ga7 0.750 0.750 0.000
Ga8 0.250 0.750 0.000
Np1 0.500 0.125 0.249
Np2 0.000 0.375 0.751
Np3 0.000 0.625 0.249
Np4 0.500 0.875 0.751
Al1 0.000 0.000 0.000
Al2 0.500 0.500 0.000
```

Summary:
Energy relative to the elements, eV per atom: 0.023
ΔE to the lowest computed polymorph, meV per atom: 0
Calculated total energy, eV/atom: -5.938

***

# 4
Below is a relaxed Sr4TaHg crystal, with properties calculated at the PBE level.

```
data_Sr4TaHg
_chemical_formula_sum 'Sr4 Ta1 Hg1'
_symmetry_space_group_name_H-M 'P 1'
_symmetry_Int_Tables_number 1
_symmetry_space_group_name_Hall 'P 1'
_cell_length_a 6.876
_cell_length_b 6.876
_cell_length_c 6.876
_cell_angle_alpha 60.00
_cell_angle_beta 60.00
_cell_angle_gamma 60.00
loop_
_atom_site_label
_atom_site_fract_x
_atom_site_fract_y
_atom_site_fract_z
Sr1 0.376 0.376 0.376
Sr2 0.376 0.376 0.873
Sr3 0.376 0.873 0.376
Sr4 0.873 0.376 0.376
Hg1 0.000 0.000 0.000
Ta1 0.750 0.750 0.750
```

Summary:
Energy relative to the elements, eV per atom: 1.012
Calculated total energy, eV/atom: -2.135

***

# 5
Below is a relaxed Na2ReF4 crystal, with properties calculated at the PBE level.

```
data_Na2ReF4
_chemical_formula_sum 'Na2 Re1 F4'
_symmetry_space_group_name_H-M 'P 1'
_symmetry_Int_Tables_number 1
_symmetry_space_group_name_Hall 'P 1'
_cell_length_a 4.243
_cell_length_b 4.243
_cell_length_c 6.739
_cell_angle_alpha 71.65
_cell_angle_beta 71.65
_cell_angle_gamma 90.00
loop_
_atom_site_label
_atom_site_fract_x
_atom_site_fract_y
_atom_site_fract_z
Re1 0.000 0.000 0.000
F1 0.000 0.500 0.000
F2 0.500 0.000 0.000
F3 0.825 0.825 0.350
F4 0.175 0.175 0.650
Na1 0.644 0.644 0.712
Na2 0.356 0.356 0.288
```

Summary:
Calculated total energy, eV/atom: -4.827
Formation energy without anion corrections, eV/atom: -1.602

***

# 6
Below is a relaxed K3TlZn2F9 crystal, with properties calculated at the PBE level.

```
data_K3TlZn2F9
_chemical_formula_sum 'K3 Tl1 Zn2 F9'
_symmetry_space_group_name_H-M 'P 1'
_symmetry_Int_Tables_number 1
_symmetry_space_group_name_Hall 'P 1'
_cell_length_a 6.032
_cell_length_b 6.032
_cell_length_c 7.703
_cell_angle_alpha 90.00
_cell_angle_beta 90.00
_cell_angle_gamma 120.00
loop_
_atom_site_label
_atom_site_fract_x
_atom_site_fract_y
_atom_site_fract_z
K1 0.667 0.333 0.302
K2 0.000 0.000 0.000
K3 0.333 0.667 0.698
F1 0.175 0.825 0.305
F2 0.000 0.500 0.000
F3 0.500 0.000 0.000
F4 0.175 0.351 0.305
F5 0.825 0.175 0.695
F6 0.351 0.175 0.695
F7 0.500 0.500 0.000
F8 0.825 0.649 0.695
F9 0.649 0.825 0.305
Zn1 0.667 0.333 0.849
Zn2 0.333 0.667 0.151
Tl1 0.000 0.000 0.500
```

Summary:
Calculated total energy, eV/atom: -4.071
Formation energy without anion corrections, eV/atom: -2.401